[1]
The following is a PBE-GGA calculation of a relaxed structure of CsSm5S8, from Alexandria via LeMat-Bulk.

Cell and atoms, written as POSCAR:
```
CsSm5S8
1.0
10.5112 -2.0578 0.0000
10.5112 2.0578 0.0000
-2.4568 0.0000 9.6216
Cs Sm S
1 5 8
direct
0.0000 0.0000 0.0000
0.1560 0.1560 0.4409
0.2021 0.2021 0.8371
0.5000 0.5000 0.5000
0.7979 0.7979 0.1629
0.8440 0.8440 0.5591
0.0798 0.0798 0.6380
0.2740 0.2740 0.3598
0.3278 0.3278 0.0086
0.4197 0.4197 0.6905
0.5803 0.5803 0.3095
0.6722 0.6722 0.9914
0.7260 0.7260 0.6402
0.9202 0.9202 0.3620
```

space group = C2/m
ΔE_f (raw) = -1980 meV/atom



[2]
The following is a PBE-GGA calculation of a relaxed structure of KRb2TeMo, from Alexandria via LeMat-Bulk.

Cell and atoms, written as POSCAR:
```
KRb2TeMo
1.0
7.2296 0.0000 0.0000
0.0000 7.2296 0.0000
0.0000 0.0000 5.3948
K Rb Te Mo
1 2 1 1
direct
0.0000 0.0000 0.0000
0.0000 0.5000 0.5000
0.5000 0.0000 0.5000
0.5000 0.5000 0.5000
0.5000 0.5000 0.0000
```

space group = P4/mmm
ΔE_f (raw) = 404 meV/atom



[3]
The following is a PBE-GGA calculation of a relaxed structure of Y2ZrIn, from Alexandria via LeMat-Bulk.

Cell and atoms, written as POSCAR:
```
Y2ZrIn
1.0
5.5008 0.0000 0.0000
0.0000 5.5008 0.0000
0.0000 0.0000 3.5711
Y Zr In
2 1 1
direct
0.0000 0.5000 0.0000
0.5000 0.0000 0.0000
0.0000 0.0000 0.5000
0.5000 0.5000 0.5000
```

distance to the lowest polymorph of the same formula = 94.6 meV per atom
space group = P4/mmm
energy of formation = -0.10 eV per atom



[4]
The following is a PBE-GGA calculation of a relaxed structure of TlSbRh, from Alexandria via LeMat-Bulk.

Cell and atoms, written as POSCAR:
```
TlSbRh
1.0
-1.6387 1.6387 6.4218
1.6387 -1.6387 6.4218
1.6387 1.6387 -6.4218
Tl Sb Rh
1 1 1
direct
0.0000 0.0000 0.0000
0.7267 0.7267 0.0000
0.3364 0.3364 0.0000
```

distance to the lowest polymorph of the same formula = 5.2 meV per atom
space group = I4mm
ΔE_f (raw) = -103 meV/atom



[5]
The following is a PBE-GGA calculation of a relaxed structure of Sn2OsW, from Alexandria via LeMat-Bulk.

Cell and atoms, written as POSCAR:
```
Sn2OsW
1.0
-3.8372 3.8372 2.7673
3.8372 -3.8372 2.7673
3.8372 3.8372 -2.7673
Sn Os W
4 2 2
direct
0.1029 0.6250 0.9779
0.3750 0.3529 0.4779
0.6471 0.1250 0.0221
0.8750 0.8971 0.5221
0.0000 0.0000 0.0000
0.7500 0.2500 0.5000
0.2500 0.7500 0.5000
0.5000 0.5000 0.0000
```

distance to the lowest polymorph of the same formula = 462.2 meV per atom
space group = I-42d
energy of formation = 1.13 eV per atom



[6]
The following is a PBE-GGA calculation of a relaxed structure of Tb3As2Rh6, from Alexandria via LeMat-Bulk.

Cell and atoms, written as POSCAR:
```
Tb3As2Rh6
1.0
-4.6385 4.6385 4.6385
4.6385 -4.6385 4.6385
4.6385 4.6385 -4.6385
Tb As Rh
6 4 12
direct
0.0000 0.2817 0.2817
0.0000 0.7183 0.7183
0.2817 0.0000 0.2817
0.2817 0.2817 0.0000
0.7183 0.0000 0.7183
0.7183 0.7183 0.0000
0.0000 0.0000 0.5000
0.0000 0.5000 0.0000
0.5000 0.0000 0.0000
0.5000 0.5000 0.5000
0.0000 0.3464 0.6536
0.0000 0.6536 0.3464
0.3071 0.6536 0.6536
0.3464 0.0000 0.6536
0.3464 0.3464 0.6929
0.3464 0.6536 0.0000
0.3464 0.6929 0.3464
0.6536 0.0000 0.3464
0.6536 0.3071 0.6536
0.6536 0.3464 0.0000
0.6536 0.6536 0.3071
0.6929 0.3464 0.3464
```

space group = Im-3m
energy of formation = -0.72 eV per atom